No. 1
# Ce7AlIn3

A relaxed Ce7AlIn3 crystal (PBE, Alexandria via LeMat-Bulk).

Unit cell a=3.1685 b=24.3172 c=15.4617 alpha=90.00 beta=90.00 gamma=90.00
Space group Cmcm (No. 63)
Inequivalent atoms, fractional coordinates:
Ce  0.0000  0.0219  0.0795
Ce  0.0000  0.0846  0.6374
Ce  0.0000  0.1341  0.2500
Ce  0.0000  0.2290  0.5751
Al  0.0000  0.4907  0.7500
In  0.0000  0.3105  0.2500
In  0.0000  0.3605  0.5500

Summary:
Calculated total energy (eV per cell): -221.2
Density of states at the Fermi level (states/eV per cell): 119.8
E_form (eV/atom): -0.164
Crystal system: orthorhombic
Magnetic moment (μB/atom): 0.0512
Distance to the lowest polymorph of the same formula (eV/atom): 0.000



No. 2
# Ce5AlIn2

A relaxed Ce5AlIn2 crystal (PBE, Alexandria via LeMat-Bulk).

Unit cell a=4.6581 b=4.6581 c=19.3044 alpha=90.00 beta=90.00 gamma=90.00
Space group I4/mmm (No. 139)
Inequivalent atoms, fractional coordinates:
Ce  0.0000  0.0000  0.0000
Ce  0.0000  0.5000  0.1223
Al  0.0000  0.0000  0.5000
In  0.0000  0.0000  0.2495

Summary:
Calculated total energy (eV per cell): -81.5
Density of states at the Fermi level (states/eV per cell): 42.0
E_form (eV/atom): -0.230
Crystal system: tetragonal
Magnetic moment (μB/atom): 0.5168



No. 3
# Ce6Al2In

A relaxed Ce6Al2In crystal (PBE, Alexandria via LeMat-Bulk).

Unit cell a=3.0411 b=8.7485 c=16.4113 alpha=90.00 beta=90.00 gamma=90.00
Space group Immm (No. 71)
Inequivalent atoms, fractional coordinates:
Ce  0.0000  0.1562  0.0000
Ce  0.0000  0.3388  0.1662
Al  0.0000  0.5000  0.3436
In  0.0000  0.0000  0.5000

Summary:
Calculated total energy (eV per cell): -94.2
Density of states at the Fermi level (states/eV per cell): 45.8
E_form (eV/atom): -0.142
Crystal system: orthorhombic
Magnetic moment (μB/atom): 0.3404
Distance to the lowest polymorph of the same formula (eV/atom): 0.079



No. 4
# Ce2AlIn

A relaxed Ce2AlIn crystal (PBE, Alexandria via LeMat-Bulk).

Unit cell a=3.2258 b=3.2258 c=9.4298 alpha=90.00 beta=90.00 gamma=90.00
Space group P4/mmm (No. 123)
Inequivalent atoms, fractional coordinates:
Ce  0.0000  0.0000  0.2321
Al  0.5000  0.5000  0.0000
In  0.5000  0.5000  0.5000

Summary:
Calculated total energy (eV per cell): -19.7
Density of states at the Fermi level (states/eV per cell): 7.0
E_form (eV/atom): -0.345
Crystal system: tetragonal
Magnetic moment (μB/atom): 0.1127